{"formula": "Er7Cd2Ag2", "functional": "PBE", "state": "relaxed", "cell": [[-3.417, -4.739, 3.406], [-0.600, -4.019, -6.195], [6.612, -1.394, 0.264]], "species": ["Er", "Er", "Er", "Er", "Cd", "Er", "Cd", "Ag", "Ag", "Er", "Er"], "frac_coords": [[0.500, 0.743, 0.500], [0.500, 0.274, 0.000], [0.000, 0.726, 0.500], [0.500, 0.726, 0.000], [0.176, 0.500, 0.176], [0.500, 0.257, 0.500], [0.824, 0.500, 0.824], [0.295, 0.000, 0.705], [0.705, 0.000, 0.295], [0.000, 0.000, 0.000], [0.000, 0.274, 0.500]], "formation_energy_ev_per_atom": 0.037, "magnetic_moment_mub_per_cell": 0.000, "final_energy_ev_per_atom": -3.551, "mass_density_g_cm3": 8.365}